The following is a PBE calculation of Y2CdTeIr after structural relaxation, from Alexandria.

Geometry as CIF:
```
data_Y2CdTeIr
_chemical_formula_sum 'Y2 Cd1 Te1 Ir1'
_cell_length_a 5.337
_cell_length_b 5.337
_cell_length_c 5.196
_cell_angle_alpha 90.00
_cell_angle_beta 90.00
_cell_angle_gamma 90.00
_space_group_name_H-M_alt 'P 4/m m m'
_space_group_IT_number 123
_space_group_name_Hall '-P 4 2'
loop_
_atom_site_label
_atom_site_type_symbol
_atom_site_fract_x
_atom_site_fract_y
_atom_site_fract_z
_atom_site_occupancy
Y1 Y 0.000 0.500 0.000 1
Cd1 Cd 0.000 0.000 0.500 1
Te1 Te 0.500 0.500 0.500 1
Ir1 Ir 0.000 0.000 0.000 1
```

Results
Total magnetic moment: 0.00 μB/f.u.
Uncorrected formation energy: -0.51 eV/atom